Compound: GdYTm2
Source: OQMD via LeMat-Bulk
Functional: GGA-PBE
Structure: relaxed

Values from the calculation:
- V (A^3/atom) = 31.52
- energy of formation (eV per atom) = 0.005
- DFT total energy (Ha/atom) = -0.184

Unit cell a=5.6055 b=7.2085 c=7.2085 alpha=59.97 beta=90.00 gamma=90.00
Last column: nearest neighbours and their distance in Å.
Atoms (fractional coordinates):
1 Tm 0.0000 0.1662 0.1662  4 Y 3.49, 4 Gd 3.49-3.60, 4 Tm 3.59-3.61
2 Tm 0.0000 0.1654 0.6680  6 Tm 3.48-3.62, 2 Y 3.49, 4 Gd 3.50-3.61
3 Tm 0.5000 0.8339 0.8339  4 Tm 3.48, 4 Gd 3.49-3.60, 4 Y 3.59-3.62
4 Tm 0.0000 0.6680 0.1654  6 Tm 3.48-3.62, 2 Y 3.49, 4 Gd 3.50-3.61
5 Y 0.5000 0.3320 0.8342  6 Tm 3.49-3.62, 4 Gd 3.50-3.61, 2 Y 3.59-3.62
6 Y 0.5000 0.8342 0.3320  6 Tm 3.49-3.62, 4 Gd 3.50-3.61, 2 Y 3.59-3.62
7 Gd 0.5000 0.3332 0.3332  8 Tm 3.49-3.60, 4 Y 3.60-3.61
8 Gd 0.0000 0.6671 0.6671  8 Tm 3.49-3.61, 4 Y 3.50